Record 1
Compound: BaNaCa2Ni
Source: the Alexandria database
Functional: GGA-PBE
Structure: optimized geometry

The energy above the most stable polymorph in this dataset comes out at 119 meV/atom. As for the formation energy: 0.10 eV per atom. The mass density is 2.7 g/cm³. Its volume is 36.52 A^3/atom. The raw total energy is -0.09198 hartree per atom. The calculation puts the density of states at the Fermi level at 4.76 states/eV/cell.

The structure belongs to space group P4/mmm (No. 123); the cell edges are 5.517, 5.517 and 5.999 Å and the angles 90.00°, 90.00° and 90.00°. The inequivalent atoms are Ba at (0.000, 0.000, 0.000), Na at (0.500, 0.500, 0.000), Ca at (0.000, 0.500, 0.500) and Ni at (0.500, 0.500, 0.500).

=====

Record 2
Compound: BaNaCa2Ni
Source: the Alexandria database
Functional: GGA-PBE
Structure: optimized geometry

The energy above the most stable polymorph in this dataset comes out at 0 meV/atom. As for the formation energy: -0.02 eV per atom. The mass density is 2.6 g/cm³. Its volume is 38.50 A^3/atom. The raw total energy is -0.09637 hartree per atom. The calculation puts the density of states at the Fermi level at 3.22 states/eV/cell.

The structure belongs to space group P4/mmm (No. 123); the cell edges are 5.661, 5.661 and 6.008 Å and the angles 90.00°, 90.00° and 90.00°. The inequivalent atoms are Ba at (0.000, 0.000, 0.000), Na at (0.500, 0.500, 0.000), Ca at (0.000, 0.500, 0.500) and Ni at (0.000, 0.000, 0.500).

=====

Record 3
Compound: BaNaCa2O
Source: the Alexandria database
Functional: GGA-PBE
Structure: optimized geometry

The mass density is 2.8 g/cm³. Its volume is 29.91 A^3/atom. The energy relative to the elements, uncorrected is -4.8 eV per formula unit. The raw total energy is -0.12522 hartree per atom. The calculation puts the density of states at the Fermi level at 3.62 states/eV/cell.

The structure belongs to space group P4/mmm (No. 123); the cell edges are 4.893, 4.893 and 6.248 Å and the angles 90.00°, 90.00° and 90.00°. The inequivalent atoms are Ba at (0.000, 0.000, 0.000), Na at (0.500, 0.500, 0.000), Ca at (0.000, 0.500, 0.500) and O at (0.000, 0.000, 0.500).

=====

Record 4
Compound: BaNaCaP
Source: the Alexandria database
Functional: GGA-PBE
Structure: optimized geometry

As for the formation energy: -0.58 eV per atom. The mass density is 2.7 g/cm³. Its volume is 36.24 A^3/atom. The raw total energy is -0.11937 hartree per atom. The calculation puts the density of states at the Fermi level at 4.63 states/eV/cell.

The structure belongs to space group P4/nmm (No. 129, origin choice 2); the cell edges are 4.586, 4.586 and 13.788 Å and the angles 90.00°, 90.00° and 90.00°. The inequivalent atoms are Ba at (0.250, 0.250, 0.234), Na at (0.250, 0.750, 0.500), Ca at (0.250, 0.750, 0.000) and P at (0.250, 0.250, 0.869).

=====

Record 5
Compound: BaNaCaPb
Source: the Alexandria database
Functional: GGA-PBE
Structure: optimized geometry

As for the formation energy: -0.35 eV per atom. The mass density is 4.7 g/cm³. Its volume is 36.26 A^3/atom. The raw total energy is -0.09505 hartree per atom. The calculation puts the density of states at the Fermi level at 8.04 states/eV/cell.

The structure belongs to space group F-43m (No. 216); the cell edges are 8.340, 8.340 and 8.340 Å and the angles 90.00°, 90.00° and 90.00°. The inequivalent atoms are Ba at (0.000, 0.000, 0.000), Na at (0.250, 0.250, 0.750), Ca at (0.000, 0.000, 0.500) and Pb at (0.250, 0.250, 0.250).

=====

Record 6
Compound: BaNaCa2Pd
Source: the Alexandria database
Functional: GGA-PBE
Structure: optimized geometry

The energy above the most stable polymorph in this dataset comes out at 92 meV/atom. As for the formation energy: -0.18 eV per atom. The mass density is 3.0 g/cm³. Its volume is 38.19 A^3/atom. The raw total energy is -0.09810 hartree per atom. The calculation puts the density of states at the Fermi level at 4.85 states/eV/cell.

The structure belongs to space group P4/mmm (No. 123); the cell edges are 5.651, 5.651 and 5.979 Å and the angles 90.00°, 90.00° and 90.00°. The inequivalent atoms are Ba at (0.000, 0.000, 0.000), Na at (0.500, 0.500, 0.000), Ca at (0.000, 0.500, 0.500) and Pd at (0.500, 0.500, 0.500).

=====

Record 7
Compound: BaNaCa2Pd
Source: the Alexandria database
Functional: GGA-PBE
Structure: optimized geometry

The energy above the most stable polymorph in this dataset comes out at 0 meV/atom. As for the formation energy: -0.27 eV per atom. The mass density is 2.8 g/cm³. Its volume is 41.28 A^3/atom. The raw total energy is -0.10150 hartree per atom. The calculation puts the density of states at the Fermi level at 3.18 states/eV/cell.

The structure belongs to space group P4/mmm (No. 123); the cell edges are 5.761, 5.761 and 6.219 Å and the angles 90.00°, 90.00° and 90.00°. The inequivalent atoms are Ba at (0.000, 0.000, 0.000), Na at (0.500, 0.500, 0.000), Ca at (0.000, 0.500, 0.500) and Pd at (0.000, 0.000, 0.500).

=====

Record 8
Compound: Ba2NaCaRu
Source: the Alexandria database
Functional: GGA-PBE
Structure: optimized geometry

As for the formation energy: 0.17 eV per atom. The mass density is 3.5 g/cm³. Its volume is 41.14 A^3/atom. The raw total energy is -0.11474 hartree per atom. The calculation puts the density of states at the Fermi level at 4.42 states/eV/cell.

The structure belongs to space group P4/mmm (No. 123); the cell edges are 5.978, 5.978 and 5.756 Å and the angles 90.00°, 90.00° and 90.00°. The inequivalent atoms are Ba at (0.000, 0.500, 0.000), Na at (0.000, 0.000, 0.500), Ca at (0.500, 0.500, 0.500) and Ru at (0.500, 0.500, 0.000).

=====

Record 9
Compound: Ba2Na3CaSb4
Source: the Alexandria database
Functional: GGA-PBE
Structure: optimized geometry

The mass density is 4.3 g/cm³. Its volume is 33.29 A^3/atom. The energy relative to the elements, uncorrected is -7.0 eV per formula unit. The raw total energy is -0.12247 hartree per atom. The calculation puts the density of states at the Fermi level at 1.38 states/eV/cell.

The structure belongs to space group P-4m2 (No. 115); the cell edges are 5.059, 5.059 and 13.007 Å and the angles 90.00°, 90.00° and 90.00°. The inequivalent atoms are Ba at (0.000, 0.500, 0.229), Na at (0.000, 0.500, 0.869), Na at (0.500, 0.500, 0.500), Ca at (0.000, 0.000, 0.500), Sb at (0.000, 0.000, 0.000), Sb at (0.000, 0.500, 0.645) and Sb at (0.500, 0.500, 0.000).

=====

Record 10
Compound: Ba2NaCaSb
Source: the Alexandria database
Functional: GGA-PBE
Structure: optimized geometry

The mass density is 2.7 g/cm³. Its volume is 56.00 A^3/atom. The energy relative to the elements, uncorrected is -1.8 eV per formula unit. The raw total energy is -0.09599 hartree per atom. The calculation puts the density of states at the Fermi level at 5.81 states/eV/cell.

The structure belongs to space group P4/mmm (No. 123); the cell edges are 6.799, 6.799 and 6.056 Å and the angles 90.00°, 90.00° and 90.00°. The inequivalent atoms are Ba at (0.000, 0.500, 0.000), Na at (0.000, 0.000, 0.500), Ca at (0.500, 0.500, 0.500) and Sb at (0.500, 0.500, 0.000).

=====

Record 11
Compound: BaNa2CaSc
Source: the Alexandria database
Functional: GGA-PBE
Structure: optimized geometry

As for the formation energy: 0.56 eV per atom. The mass density is 1.9 g/cm³. Its volume is 46.43 A^3/atom. The raw total energy is -0.07404 hartree per atom. The calculation puts the density of states at the Fermi level at 6.10 states/eV/cell.

The structure belongs to space group P4/mmm (No. 123); the cell edges are 6.140, 6.140 and 6.159 Å and the angles 90.00°, 90.00° and 90.00°. The inequivalent atoms are Ba at (0.000, 0.000, 0.000), Na at (0.000, 0.500, 0.500), Ca at (0.500, 0.500, 0.000) and Sc at (0.500, 0.500, 0.500).

=====

Record 12
Compound: BaNa2CaSe
Source: the Alexandria database
Functional: GGA-PBE
Structure: optimized geometry

The mass density is 1.8 g/cm³. Its volume is 56.12 A^3/atom. The energy relative to the elements, uncorrected is 4.0 eV per formula unit. The raw total energy is -0.04481 hartree per atom. The calculation puts the density of states at the Fermi level at 6.07 states/eV/cell.

The structure belongs to space group P4/mmm (No. 123); the cell edges are 6.245, 6.245 and 7.195 Å and the angles 90.00°, 90.00° and 90.00°. The inequivalent atoms are Ba at (0.000, 0.000, 0.000), Na at (0.000, 0.500, 0.000), Ca at (0.000, 0.000, 0.500) and Se at (0.500, 0.500, 0.500).

=====

Record 13
Compound: BaNaCa2Si
Source: the Alexandria database
Functional: GGA-PBE
Structure: optimized geometry

The energy above the most stable polymorph in this dataset comes out at 0 meV/atom. The mass density is 2.0 g/cm³. Its volume is 44.23 A^3/atom. The energy relative to the elements, uncorrected is -0.5 eV per formula unit. The raw total energy is -0.09702 hartree per atom. The calculation puts the density of states at the Fermi level at 3.89 states/eV/cell.

The structure belongs to space group P4/mmm (No. 123); the cell edges are 5.817, 5.817 and 6.536 Å and the angles 90.00°, 90.00° and 90.00°. The inequivalent atoms are Ba at (0.000, 0.000, 0.000), Na at (0.500, 0.500, 0.000), Ca at (0.000, 0.500, 0.500) and Si at (0.000, 0.000, 0.500).